No. 1
The following is a GGA-PBE calculation of an optimized crystal structure of LiTb2Ru, from Alexandria.

Output
Total energy ... -5.3340 eV/atom
Total moment ... 0.0 μB per formula unit
Energy of formation from the pure elements ... -0.221 eV per atom

a b c (Å): 3.427 3.427 8.124
angles (deg): 90.00 90.00 90.00
Space group P4/mmm (No. 123)
Unique sites:
Li1 0.000 0.000 0.000 [1 per cell]
Tb1 0.500 0.500 0.295 [2 per cell]
Ru1 0.000 0.000 0.500 [1 per cell]

***

No. 2
The following is a GGA-PBE calculation of an optimized crystal structure of Mg2TaAu, from Alexandria.

Output
Distance to the lowest polymorph of the same formula ... 15.0 kJ per mole of atoms
Total energy ... -4.5257 eV/atom
Total moment ... 0.0 μB per formula unit
Energy of formation from the pure elements ... 0.054 eV per atom

a b c (Å): 2.944 4.157 6.120
angles (deg): 90.00 90.00 90.00
Space group Pmm2 (No. 25)
Unique sites:
Mg1 0.000 0.000 0.000 [1 per cell]
Mg2 0.500 0.500 0.258 [1 per cell]
Ta1 0.000 0.000 0.518 [1 per cell]
Au1 0.500 0.500 0.748 [1 per cell]

***

No. 3
The following is a GGA-PBE calculation of an optimized crystal structure of LiBiPd, from Alexandria.

Output
Distance to the lowest polymorph of the same formula ... 0.0 kJ per mole of atoms
Total energy ... -4.0778 eV/atom
Total moment ... 0.0 μB per formula unit
Energy of formation from the pure elements ... -0.415 eV per atom

a b c (Å): 3.614 3.614 8.725
angles (deg): 90.00 90.00 90.00
Space group I4mm (No. 107)
Unique sites:
Li1 0.000 0.000 0.000 [2 per cell]
Bi1 0.000 0.000 0.318 [2 per cell]
Pd1 0.000 0.000 0.657 [2 per cell]